Here is an optimized crystal structure of TlSiAgSeS2 from OQMD via LeMat-Bulk. Energies are from PBE.

## Properties
Its space group is Cmcm. The volume comes out at 22.37 Å³ per atom. For the raw total energy, the calculation gives -3.942 eV per atom.

The structure in POSCAR format:
```
TlSiAgSeS2
1.0
1.678 -7.633 0.000
1.678 7.633 0.000
0.000 0.000 10.479
Ag S Se Si Tl
2 4 2 2 2
direct
0.632 0.368 0.250 Ag
0.368 0.632 0.750 Ag
0.606 0.394 0.018 S
0.606 0.394 0.482 S
0.394 0.606 0.518 S
0.394 0.606 0.982 S
0.968 0.032 0.250 Se
0.032 0.968 0.750 Se
0.000 0.000 0.000 Si
0.000 0.000 0.500 Si
0.304 0.696 0.250 Tl
0.696 0.304 0.750 Tl
```